Record 1
# TcHg2As, relaxed, DFT PBE
# Crystal system: tetragonal
# ΔH_f (0 K) in meV per atom: 639
# Total magnetic moment in μB/cell: 2.1
data_TcHg2As
_chemical_formula_sum 'Tc1 Hg2 As1'
_cell_length_a 2.9871
_cell_length_b 2.9871
_cell_length_c 9.0228
_cell_angle_alpha 90.00
_cell_angle_beta 90.00
_cell_angle_gamma 90.00
_symmetry_space_group_name_H-M 'P 4/m m m'
_symmetry_Int_Tables_number 123
_symmetry_space_group_name_Hall '-P 4 2'
loop_
_atom_site_label
_atom_site_fract_x
_atom_site_fract_y
_atom_site_fract_z
Tc1 0.0000 0.0000 0.0000
Hg1 0.5000 0.5000 0.2263
As1 0.0000 0.0000 0.5000

***

Record 2
# Sc2AgP, relaxed, DFT PBE
# Crystal system: orthorhombic
# ΔH_f (0 K) in meV per atom: -546
# ΔE to the lowest computed polymorph in meV/atom: 209
# Total magnetic moment in μB/cell: 0.0
data_Sc2AgP
_chemical_formula_sum 'Sc4 Ag2 P2'
_cell_length_a 3.9430
_cell_length_b 5.0329
_cell_length_c 7.7791
_cell_angle_alpha 90.00
_cell_angle_beta 90.00
_cell_angle_gamma 90.00
_symmetry_space_group_name_H-M 'I m m m'
_symmetry_Int_Tables_number 71
_symmetry_space_group_name_Hall '-I 2 2'
loop_
_atom_site_label
_atom_site_fract_x
_atom_site_fract_y
_atom_site_fract_z
Sc1 0.0000 0.0000 0.2233
Ag1 0.0000 0.5000 0.0000
P1 0.0000 0.5000 0.5000